## La3Pm3Er4 (PBE)

Data for a relaxed structure of La3Pm3Er4.

Calculated formation energy: 0.085 eV per atom
DOS at the Fermi energy: 11.67 states/eV/cell
Crystal system: orthorhombic

a = 3.6586 Å, b = 9.7324 Å, c = 9.7324 Å
α = 89.98°, β = 90.00°, γ = 90.00°
With the nearest neighbours (Å) after each atom.
Positions (direct):
1 La 0.0000 0.0000 0.0000  6 Er 3.36-3.48, 2 La 3.66
2 La 0.5000 0.3274 0.8239  4 La 3.66-4.05, 4 Er 3.82-3.92, 6 Pm 4.01-4.03
3 La 0.5000 0.8239 0.3274  4 La 3.66-4.05, 4 Er 3.82-3.92, 6 Pm 4.01-4.03
4 Pm 0.0000 0.1509 0.4994  6 Er 3.35-3.45, 2 Pm 3.66
5 Pm 0.0000 0.4994 0.1509  6 Er 3.35-3.45, 2 Pm 3.66
6 Pm 0.0000 0.6496 0.6496  6 Er 3.34-3.44, 2 Pm 3.66
7 Er 0.5000 0.2050 0.2050  3 Er 3.32-3.66, 2 La 3.36, 4 Pm 3.44
8 Er 0.5000 0.4463 0.4463  3 Er 3.32-3.66, 6 Pm 3.34-3.45
9 Er 0.5000 0.7007 0.9443  4 Pm 3.35-3.44, 3 Er 3.35-3.66, 2 La 3.48
10 Er 0.5000 0.9443 0.7007  4 Pm 3.35-3.44, 3 Er 3.35-3.66, 2 La 3.48